## CdRe2P (PBE)

Data for a geometry-optimized CdRe2P structure.

a = 4.7839 Å, b = 4.7839 Å, c = 4.7839 Å
α = 130.20°, β = 130.20°, γ = 73.09°
Closest atoms and distances in Å follow each position.
Positions (direct):
Cd: 0.5000 0.5000 0.0000  8 Re 2.78-2.85, 4 P 2.78
P: 0.7500 0.2500 0.5000  8 Re 2.78-2.85, 4 Cd 2.78
Re: 0.0000 0.0000 0.0000  4 P 2.78, 4 Re 2.78, 4 Cd 2.85
Re: 0.2500 0.7500 0.5000  4 Cd 2.78, 4 Re 2.78, 4 P 2.85

DFT total energy, eV for the cell shown: -28.138
E_form, meV per atom: 771
Density of states at the Fermi level, states/eV/f.u.: 3.45
ΔE to the lowest computed polymorph, eV/atom: 0.601